No. 1
Entry from Alexandria via LeMat-Bulk: crystalline RbTiCo3 at its relaxed geometry (GGA-PBE).

Cell lengths 4.428, 4.428, 4.428 Å; angles 90.00, 90.00, 90.00 degrees
Space group Pm-3m (No. 221)
Unique sites:
Rb  0.000  0.000  0.000
Ti  0.500  0.500  0.500
Co  0.000  0.000  0.500

Computed properties:
- magnetic moment (μB per formula unit) = 0.00
- distance to the lowest polymorph of the same formula (meV/atom) = 1212
- calculated formation energy (eV per atom) = 2.44

***

No. 2
Entry from Alexandria via LeMat-Bulk: crystalline Rb3TiCo at its relaxed geometry (GGA-PBE).

Cell lengths 6.533, 6.533, 6.533 Å; angles 90.00, 90.00, 90.00 degrees
Space group Pm-3m (No. 221)
Unique sites:
Rb  0.000  0.000  0.500
Ti  0.500  0.500  0.500
Co  0.000  0.000  0.000

Computed properties:
- magnetic moment (μB per formula unit) = 1.99
- calculated formation energy (eV per atom) = 1.41

***

No. 3
Entry from Alexandria via LeMat-Bulk: crystalline RbTiCo3 at its relaxed geometry (GGA-PBE).

Cell lengths 4.605, 4.605, 4.605 Å; angles 90.00, 90.00, 90.00 degrees
Space group Pm-3m (No. 221)
Unique sites:
Rb  0.000  0.000  0.000
Ti  0.500  0.500  0.500
Co  0.000  0.500  0.500

Computed properties:
- magnetic moment (μB per formula unit) = 1.79
- distance to the lowest polymorph of the same formula (meV/atom) = 0
- calculated formation energy (eV per atom) = 1.23

***

No. 4
Entry from Alexandria via LeMat-Bulk: crystalline RbTi2Co at its relaxed geometry (GGA-PBE).

Cell lengths 7.191, 7.191, 10.303 Å; angles 90.00, 90.00, 90.00 degrees
Space group I4_1/amd (No. 141, origin choice 2)
Unique sites:
Rb  0.000  0.250  0.375
Ti  0.000  0.000  0.000
Co  0.000  0.250  0.875

Computed properties:
- magnetic moment (μB per formula unit) = 2.53
- distance to the lowest polymorph of the same formula (meV/atom) = 0
- calculated formation energy (eV per atom) = 1.07

***

No. 5
Entry from Alexandria via LeMat-Bulk: crystalline RbTiCo2 at its relaxed geometry (GGA-PBE).

Cell lengths 6.568, 6.568, 6.568 Å; angles 90.00, 90.00, 90.00 degrees
Space group Fm-3m (No. 225)
Unique sites:
Rb  0.000  0.000  0.000
Ti  0.000  0.000  0.500
Co  0.250  0.250  0.250

Computed properties:
- magnetic moment (μB per formula unit) = 1.14
- distance to the lowest polymorph of the same formula (meV/atom) = 217
- calculated formation energy (eV per atom) = 1.25

***

No. 6
Entry from Alexandria via LeMat-Bulk: crystalline RbTiCo2 at its relaxed geometry (GGA-PBE).

Cell lengths 5.038, 5.038, 15.523 Å; angles 90.00, 90.00, 90.00 degrees
Space group I4_1/amd (No. 141, origin choice 2)
Unique sites:
Rb  0.000  0.250  0.375
Ti  0.000  0.250  0.875
Co  0.000  0.000  0.000

Computed properties:
- magnetic moment (μB per formula unit) = 0.60
- distance to the lowest polymorph of the same formula (meV/atom) = 0
- calculated formation energy (eV per atom) = 1.04

***

No. 7
Entry from Alexandria via LeMat-Bulk: crystalline RbTiTlCo2 at its relaxed geometry (GGA-PBE).

Cell lengths 4.916, 4.916, 5.740 Å; angles 90.00, 90.00, 90.00 degrees
Space group P4/mmm (No. 123)
Unique sites:
Rb  0.000  0.000  0.000
Ti  0.500  0.500  0.000
Tl  0.000  0.000  0.500
Co  0.000  0.500  0.500

Computed properties:
- magnetic moment (μB per formula unit) = 0.08
- calculated formation energy (eV per atom) = 1.97

***

No. 8
Entry from Alexandria via LeMat-Bulk: crystalline RbTlCo2 at its relaxed geometry (GGA-PBE).

Cell lengths 4.883, 4.883, 18.735 Å; angles 90.00, 90.00, 90.00 degrees
Space group I4_1/amd (No. 141, origin choice 2)
Unique sites:
Rb  0.000  0.250  0.375
Tl  0.000  0.250  0.875
Co  0.000  0.000  0.000

Computed properties:
- magnetic moment (μB per formula unit) = 2.96
- distance to the lowest polymorph of the same formula (meV/atom) = 0
- calculated formation energy (eV per atom) = 0.84